Entry w
# PBE-GGA CuReIr, optimized geometry
# Crystal system: cubic
data_CuReIr
_space_group_name_H-M_alt 'F -4 3 m'
_space_group_IT_number 216
_space_group_name_Hall 'F -4 2 3'
_cell_length_a 5.830
_cell_length_b 5.830
_cell_length_c 5.830
_cell_angle_alpha 90.00
_cell_angle_beta 90.00
_cell_angle_gamma 90.00
loop_
_atom_site_label
_atom_site_type_symbol
_atom_site_fract_x
_atom_site_fract_y
_atom_site_fract_z
_atom_site_occupancy
Cu1 Cu 0.000 0.000 0.000 1
Re1 Re 0.000 0.000 0.500 1
Ir1 Ir 0.250 0.250 0.250 1

Entry x
# PBE-GGA CuReIr, optimized geometry
# Crystal system: orthorhombic
data_CuReIr
_space_group_name_H-M_alt 'I m m 2'
_space_group_IT_number 44
_cell_length_a 2.744
_cell_length_b 3.797
_cell_length_c 7.983
_cell_angle_alpha 90.00
_cell_angle_beta 90.00
_cell_angle_gamma 90.00
loop_
_space_group_symop_operation_xyz
'x,y,z'
'-x,-y,z'
'-x,y,z'
'x,-y,z'
'x+1/2,y+1/2,z+1/2'
'-x+1/2,-y+1/2,z+1/2'
'-x+1/2,y+1/2,z+1/2'
'x+1/2,-y+1/2,z+1/2'
loop_
_atom_site_label
_atom_site_type_symbol
_atom_site_fract_x
_atom_site_fract_y
_atom_site_fract_z
_atom_site_occupancy
Cu1 Cu 0.000 0.000 0.000 1
Re1 Re 0.000 0.000 0.331 1
Ir1 Ir 0.000 0.000 0.671 1

Stability, highest: entry x

Entry w
# PBE-GGA CuReIr, optimized geometry
# Crystal system: tetragonal
data_CuReIr
_space_group_name_H-M_alt 'I 4 m m'
_space_group_IT_number 107
_space_group_name_Hall 'I 4 -2'
_cell_length_a 2.765
_cell_length_b 2.765
_cell_length_c 10.932
_cell_angle_alpha 90.00
_cell_angle_beta 90.00
_cell_angle_gamma 90.00
loop_
_atom_site_label
_atom_site_type_symbol
_atom_site_fract_x
_atom_site_fract_y
_atom_site_fract_z
_atom_site_occupancy
Cu1 Cu 0.000 0.000 0.000 1
Re1 Re 0.000 0.000 0.667 1
Ir1 Ir 0.000 0.000 0.331 1

Entry x
# PBE-GGA CuReIr, optimized geometry
# Crystal system: monoclinic
data_CuReIr
_space_group_name_H-M_alt 'C 1 2/m 1'
_space_group_IT_number 12
_cell_length_a 13.479
_cell_length_b 4.121
_cell_length_c 7.037
_cell_angle_alpha 90.00
_cell_angle_beta 94.27
_cell_angle_gamma 90.00
loop_
_space_group_symop_operation_xyz
'x,y,z'
'-x,-y,-z'
'-x,y,-z'
'x,-y,z'
'x+1/2,y+1/2,z'
'-x+1/2,-y+1/2,-z'
'-x+1/2,y+1/2,-z'
'x+1/2,-y+1/2,z'
loop_
_atom_site_label
_atom_site_type_symbol
_atom_site_fract_x
_atom_site_fract_y
_atom_site_fract_z
_atom_site_occupancy
Cu1 Cu 0.029 0.000 0.338 1
Cu2 Cu 0.070 0.500 0.769 1
Re1 Re 0.203 0.500 0.072 1
Re2 Re 0.223 0.000 0.309 1
Ir1 Ir 0.092 0.000 0.002 1
Ir2 Ir 0.161 0.000 0.625 1

Entry y
# PBE-GGA CuReIr, optimized geometry
# Crystal system: trigonal
data_CuReIr
_space_group_name_H-M_alt 'P 3 m 1'
_space_group_IT_number 156
_cell_length_a 2.7252
_cell_length_b 2.7252
_cell_length_c 6.5858
_cell_angle_alpha 90.00
_cell_angle_beta 90.00
_cell_angle_gamma 120.00
loop_
_space_group_symop_operation_xyz
'x,y,z'
'-y,x-y,z'
'-x+y,-x,z'
'-y,-x,z'
'-x+y,y,z'
'x,x-y,z'
loop_
_atom_site_label
_atom_site_type_symbol
_atom_site_fract_x
_atom_site_fract_y
_atom_site_fract_z
_atom_site_occupancy
Cu1 Cu 0.0000 0.0000 0.0000 1
Re1 Re 0.3333 0.6667 0.6653 1
Ir1 Ir 0.6667 0.3333 0.3369 1

Stability, highest: entry w

Entry w
# PBE-GGA CuReIr, optimized geometry
# Crystal system: hexagonal
data_CuReIr
_space_group_name_H-M_alt 'P -6 m 2'
_space_group_IT_number 187
_space_group_name_Hall 'P -6 2'
_cell_length_a 4.2413
_cell_length_b 4.2413
_cell_length_c 2.6697
_cell_angle_alpha 90.00
_cell_angle_beta 90.00
_cell_angle_gamma 120.00
loop_
_atom_site_label
_atom_site_type_symbol
_atom_site_fract_x
_atom_site_fract_y
_atom_site_fract_z
_atom_site_occupancy
Cu1 Cu 0.0000 0.0000 0.0000 1
Re1 Re 0.3333 0.6667 0.5000 1
Ir1 Ir 0.6667 0.3333 0.0000 1

Entry x
# PBE-GGA CuReIr, optimized geometry
# Crystal system: orthorhombic
data_CuReIr
_space_group_name_H-M_alt 'F m m 2'
_space_group_IT_number 42
_space_group_name_Hall 'F 2 -2'
_cell_length_a 2.771
_cell_length_b 4.603
_cell_length_c 13.559
_cell_angle_alpha 90.00
_cell_angle_beta 90.00
_cell_angle_gamma 90.00
loop_
_atom_site_label
_atom_site_type_symbol
_atom_site_fract_x
_atom_site_fract_y
_atom_site_fract_z
_atom_site_occupancy
Cu1 Cu 0.000 0.000 0.000 1
Re1 Re 0.000 0.000 0.667 1
Ir1 Ir 0.000 0.000 0.332 1

Stability, highest: entry w